No. 1
A geometry-optimized PmNd2SmHo structure. Source: Alexandria via LeMat-Bulk, functional PBE-GGA.

Properties
Calculated density in g cm⁻³: 7.1
Space-group type: P2/c, No. 13
Total magnetization in μB per cell: 0.000
Total DFT energy (no corrections) in Ry/atom: -0.3276
Energy of formation from the pure elements in meV/atom: 259

abc: 8.238 6.728 6.283
angles: 90.00 90.24 90.00
Fractional coordinates of all 10 atoms:
Pm 0.000 0.077 0.250
Pm 0.000 0.923 0.750
Nd 0.305 0.196 0.748
Nd 0.305 0.804 0.248
Nd 0.695 0.196 0.752
Nd 0.695 0.804 0.252
Sm 0.000 0.500 0.000
Sm 0.000 0.500 0.500
Ho 0.500 0.338 0.250
Ho 0.500 0.662 0.750

---

No. 2
A geometry-optimized Sr2ScMn structure. Source: Alexandria via LeMat-Bulk, functional PBE-GGA.

Properties
Relative energy among the computed polymorphs in meV/atom: 267.8
Calculated density in g cm⁻³: 3.5
Space-group type: Cmmm, No. 65
Total magnetization in μB per cell: 4.072
Total DFT energy (no corrections) in Ry/atom: -0.3053
Energy of formation from the pure elements in meV/atom: 562

abc: 5.647 5.647 4.140
angles: 90.00 90.00 90.09
Fractional coordinates of all 4 atoms:
Sr 0.000 0.500 0.000
Sr 0.500 0.000 0.000
Sc 0.000 0.000 0.500
Mn 0.500 0.500 0.500

---

No. 3
A geometry-optimized Ce2ZrCo structure. Source: Alexandria via LeMat-Bulk, functional PBE-GGA.

Properties
Calculated density in g cm⁻³: 8.3
Space-group type: R-3m, No. 166
Total magnetization in μB per cell: 0.297
Total DFT energy (no corrections) in Ry/atom: -0.4837
Energy of formation from the pure elements in meV/atom: 299

abc: 10.618 10.618 10.618
angles: 16.65 16.65 16.65
Fractional coordinates of all 4 atoms:
Ce 0.097 0.097 0.097
Ce 0.903 0.903 0.903
Zr 0.000 0.000 0.000
Co 0.500 0.500 0.500